i) Mg2PaHg, optimized geometry, DFT GGA-PBE; spin magnetization = 0.492 μB/cell; symmetry = No. 166
1.0
-2.5574 1.1859 1.3488
-0.1625 0.2270 3.1126
3.6421 10.8729 0.9660
Pa Mg Hg
1 2 1
Cartesian
0.0000 0.0000 0.0000
-1.4353 4.3505 4.3143
2.3575 7.9353 1.1132
0.4611 6.1429 2.7137

ii) Mg2PaHg, optimized geometry, DFT GGA-PBE; spin magnetization = 0.903 μB/cell; symmetry = No. 123
1.0
-0.9198 -2.1828 2.1199
3.0383 -0.5395 0.7628
-0.4653 6.3768 6.3639
Mg Pa Hg
2 1 1
Cartesian
-0.3613 4.9512 4.9412
-0.1040 1.4256 1.4227
0.8266 1.8273 4.6233
1.0593 -1.3611 1.4413

Which of them is the most stable, and which is the least stable? ii) and i), in that order.

i) Mg2HgPb, optimized geometry, DFT GGA-PBE; spin magnetization = 0.000 μB/cell; symmetry = No. 10
1.0
-0.1501 1.0879 -3.2948
-2.2909 -2.5822 -0.7483
-8.0650 2.2572 1.1128
Pb Mg Hg
1 2 1
Cartesian
-2.6640 0.4627 -1.5563
-5.3301 -0.0191 0.2365
-7.9129 2.1138 1.0585
-7.8420 0.3002 -1.3740

ii) Mg2HgPb, optimized geometry, DFT GGA-PBE; spin magnetization = 0.000 μB/cell; symmetry = No. 225
1.0
0.0000 3.6223 3.6223
3.6223 0.0000 3.6223
3.6223 3.6223 0.0000
Mg Hg Pb
2 1 1
Cartesian
5.4334 5.4334 5.4334
1.8111 1.8111 1.8111
0.0000 0.0000 0.0000
3.6223 3.6223 3.6223

iii) Mg2HgPb, optimized geometry, DFT GGA-PBE; spin magnetization = 0.000 μB/cell; symmetry = No. 25
1.0
-2.7095 1.0824 -2.0366
-2.1762 -3.9405 0.8009
-2.6710 2.4636 4.8629
Pb Mg Hg
1 2 1
Cartesian
-1.2675 1.1691 2.3077
-3.1473 -0.7793 0.6646
-2.5968 2.3950 4.7277
-4.5518 0.5161 3.2217

iv) Mg2HgPb, optimized geometry, DFT GGA-PBE; spin magnetization = 0.000 μB/cell; symmetry = No. 8
1.0
-1.3138 2.7967 4.9314
-2.5940 -0.4060 5.1935
4.0339 -1.3808 2.8316
Mg Hg Pb
2 1 1
Cartesian
-0.0530 0.8094 9.6317
-3.7049 2.3175 10.2210
-0.2073 0.3388 3.1267
0.2466 0.4400 6.5803

Which of them is the most stable, and which is the least stable? i) and iii), in that order.

i) Mg2HgPb, optimized geometry, DFT GGA-PBE; spin magnetization = 0.000 μB/cell; symmetry = No. 44
1.0
6.0844 -0.0419 -0.1693
3.0266 5.2785 0.1693
-4.2138 -3.2127 2.9955
Mg Pb Hg
2 1 1
Cartesian
3.2550 -0.2941 1.4131
0.1679 0.0965 0.0000
4.4599 2.5633 0.0000
1.5699 2.2763 1.5824

ii) Mg2HgPb, optimized geometry, DFT GGA-PBE; spin magnetization = 0.000 μB/cell; symmetry = No. 8
1.0
3.5451 0.0120 0.0045
1.7829 3.0642 0.0045
1.8044 1.0418 9.1228
Mg Pb Hg
2 1 1
Cartesian
1.7966 1.0373 7.0274
1.7910 1.0341 2.1079
3.5586 2.0545 4.5604
5.3568 3.0928 9.1247

Which of them is the most stable, and which is the least stable? ii) and i), in that order.

i) MgHg6Pb, optimized geometry, DFT GGA-PBE; spin magnetization = 0.000 μB/cell; symmetry = No. 123
1.0
-1.1075 -0.3046 -4.4959
-3.4005 -2.9813 1.0397
-5.9662 7.1488 0.9853
Hg Pb Mg
6 1 1
Cartesian
-4.9430 5.1069 -1.5231
-3.2772 0.3989 0.7803
-5.2371 1.9314 -1.2355
-2.1307 1.7372 -1.9875
-2.2540 -1.6430 -1.7281
-6.0895 3.7686 1.2447
0.0000 0.0000 0.0000
-2.9831 3.5744 0.4927

ii) MgHg6Pb, optimized geometry, DFT GGA-PBE; spin magnetization = 0.000 μB/cell; symmetry = No. 2
1.0
-3.0064 -0.9485 5.3055
2.6271 -2.6858 6.2808
3.3053 3.6529 5.9142
Pb Hg Mg
1 6 1
Cartesian
2.9662 0.4836 6.0975
0.5991 -0.9689 4.4635
1.4702 1.6061 8.7584
2.3269 0.9875 13.0371
3.6480 -0.3942 10.5723
-0.7220 0.4129 6.9282
1.4558 -1.5875 8.7421
0.0000 0.0000 0.0000

Which of them is the most stable, and which is the least stable? i) and ii), in that order.

i) Mg7Hg2Pb2, optimized geometry, DFT GGA-PBE; spin magnetization = 0.000 μB/cell; symmetry = No. 65
1.0
-1.6712 4.3310 4.1211
-4.8243 -5.1995 3.5082
4.9158 -3.2869 1.8881
Pb Hg Mg
2 2 7
Cartesian
0.0929 -1.7936 6.3936
-1.6726 -2.3618 3.1238
-4.7158 -2.9266 7.0260
3.1361 -1.2288 2.4914
0.6701 -0.5042 3.6970
2.6743 -2.6366 4.9711
1.0519 -3.1586 1.9664
-4.2540 -1.5188 4.5463
0.0000 0.0000 0.0000
-2.2498 -3.6512 5.8204
-2.6316 -0.9968 7.5510

ii) Mg7Hg2Pb2, optimized geometry, DFT GGA-PBE; spin magnetization = 0.000 μB/cell; symmetry = No. 44
1.0
4.4813 0.0000 0.9611
1.4610 7.1179 4.1161
0.5568 -0.1011 8.3319
Mg Pb Hg
7 2 2
Cartesian
3.7257 3.4234 4.4844
4.9473 3.2107 9.7168
2.3627 5.0672 10.8398
3.0081 5.4673 7.8304
1.2114 1.0875 5.2798
3.6643 6.8199 4.7707
3.9579 0.5238 3.4019
1.1758 4.8412 5.4457
3.0928 2.2567 7.4355
1.8080 2.2038 2.4977
4.8704 6.2452 10.0750

Which of them is the most stable, and which is the least stable? ii) and i), in that order.

i) Mg8HgPb2, optimized geometry, DFT GGA-PBE; spin magnetization = 0.000 μB/cell; symmetry = No. 12
1.0
4.5143 0.0000 0.0000
0.0000 7.2772 0.3009
-2.2572 -2.7524 7.7949
Mg Hg Pb
8 1 2
Cartesian
2.2571 5.6761 2.9976
0.0000 0.5572 2.1704
0.0000 -1.1513 5.0983
0.0000 1.7511 6.6032
2.2571 2.7737 1.4927
2.2572 3.9676 5.9255
2.2572 -0.5869 7.2616
0.0000 5.1117 0.8343
2.2572 0.0000 0.0000
2.2572 0.9819 4.4929
0.0000 3.5430 3.6029

ii) Mg8HgPb2, optimized geometry, DFT GGA-PBE; spin magnetization = 0.000 μB/cell; symmetry = No. 71
1.0
-2.9925 -1.1190 -3.9844
-4.2828 -3.2280 4.1233
-0.2663 8.7421 1.0178
Hg Mg Pb
1 8 2
Cartesian
-1.4963 -0.5595 -1.9922
-5.7569 -1.1172 1.3644
-3.8448 3.9595 1.7756
-1.0531 -0.7937 1.0139
-3.6968 0.4355 -0.6189
-1.3898 2.3384 0.3871
-6.1519 2.0566 0.7696
-6.4885 5.1887 0.1428
-1.7847 5.5123 -0.2077
-3.9966 3.6475 -1.2959
-3.5451 0.7476 2.4526

Which of them is the most stable, and which is the least stable? i) and ii), in that order.